No. 1
Below is a relaxed CaAu3 crystal, with properties calculated at the PBE-GGA level.

Cell: 3.782 3.782 5.781 Å, 90.00 90.00 89.99°
Fractional coordinates of all 4 atoms:
Ca1 0.500 0.500 0.250
Au1 0.000 0.000 0.991
Au2 0.500 0.500 0.750
Au3 0.000 0.000 0.509

Computed properties:
The calculation puts the raw total energy at -3.45 eV per atom. The crystal system is tetragonal. The magnetic moment is 0.0 μB/f.u. Its formation energy is -0.4929 eV/atom.

***

No. 2
Below is a relaxed LaDyZn2Au5 crystal, with properties calculated at the PBE-GGA level.

Cell: 4.576 4.576 9.098 Å, 90.00 90.00 90.00°
Fractional coordinates of all 9 atoms:
La1 0.000 0.000 0.500
Dy1 0.000 0.000 0.000
Zn1 0.500 0.500 0.131
Zn2 0.500 0.500 0.869
Au1 0.000 0.500 0.259
Au2 0.500 0.000 0.259
Au3 0.000 0.500 0.741
Au4 0.500 0.000 0.741
Au5 0.500 0.500 0.500

Computed properties:
The calculation puts the raw total energy at -3.66 eV per atom. The crystal system is tetragonal. The magnetic moment is 0.0 μB/f.u. Its formation energy is -0.5010 eV/atom.

***

No. 3
Below is a relaxed TlTcRu crystal, with properties calculated at the PBE-GGA level.

Cell: 4.346 4.346 4.346 Å, 60.00 60.00 60.00°
Fractional coordinates of all 3 atoms:
Ru1 0.750 0.750 0.750
Tc1 0.000 0.000 0.000
Tl1 0.500 0.500 0.500

Computed properties:
The calculation puts the energy relative to the lowest polymorph listed for this composition at 351.5 meV/atom. The calculation puts the raw total energy at -6.62 eV per atom. The crystal system is cubic. The magnetic moment is 0.0 μB/f.u. Its formation energy is 0.7155 eV/atom.

***

No. 4
Below is a relaxed Pr2IBr2 crystal, with properties calculated at the PBE-GGA level.

Cell: 5.926 7.517 8.674 Å, 107.73 90.00 113.21°
Fractional coordinates of all 10 atoms:
Pr1 0.139 0.278 0.566
Pr2 0.861 0.722 0.434
Pr3 0.499 0.997 0.286
Pr4 0.501 0.003 0.714
I1 0.335 0.670 0.908
I2 0.665 0.330 0.092
Br1 0.688 0.377 0.598
Br2 0.312 0.623 0.402
Br3 0.006 0.012 0.784
Br4 0.994 0.988 0.216

Computed properties:
The calculation puts the raw total energy at -4.25 eV per atom. The crystal system is monoclinic. The uncorrected formation energy comes out at -1355.4 meV/atom. The magnetic moment is 0.0 μB/f.u.

***

No. 5
Below is a relaxed Ag3PdBr crystal, with properties calculated at the PBE-GGA level.

Cell: 5.134 5.134 5.134 Å, 90.00 90.00 90.00°
Fractional coordinates of all 5 atoms:
Br1 0.500 0.500 0.500
Pd1 0.000 0.000 0.000
Ag1 0.000 0.500 0.000
Ag2 0.000 0.000 0.500
Ag3 0.500 0.000 0.000

Computed properties:
The calculation puts the energy relative to the lowest polymorph listed for this composition at 0.0 meV/atom. The calculation puts the raw total energy at -2.54 eV per atom. The crystal system is cubic. The uncorrected formation energy comes out at 546.6 meV/atom. The magnetic moment is 0.0 μB/f.u.

***

No. 6
Below is a relaxed PdPb6Au crystal, with properties calculated at the PBE-GGA level.

Cell: 4.155 7.367 7.367 Å, 97.88 90.00 90.00°
Fractional coordinates of all 8 atoms:
Pd1 0.500 0.294 0.706
Pb1 0.000 0.567 0.799
Pb2 0.000 0.201 0.433
Pb3 0.000 0.659 0.341
Pb4 0.500 0.900 0.635
Pb5 0.500 0.365 0.100
Pb6 0.500 0.904 0.096
Au1 0.000 0.110 0.890

Computed properties:
The calculation puts the energy relative to the lowest polymorph listed for this composition at 0.0 meV/atom. The calculation puts the raw total energy at -3.87 eV per atom. The crystal system is orthorhombic. The magnetic moment is 0.0 μB/f.u. Its formation energy is -0.0331 eV/atom.

***

No. 7
Below is a relaxed BaNa2Au crystal, with properties calculated at the PBE-GGA level.

Cell: 4.109 4.109 11.771 Å, 79.95 79.95 60.00°
Fractional coordinates of all 4 atoms:
Na1 0.115 0.115 0.654
Na2 0.885 0.885 0.346
Au1 0.500 0.500 0.500
Ba1 0.000 0.000 0.000

Computed properties:
The calculation puts the energy relative to the lowest polymorph listed for this composition at 375.5 meV/atom. The calculation puts the raw total energy at -1.91 eV per atom. The crystal system is trigonal. The magnetic moment is 0.5 μB/f.u. Its formation energy is 0.0448 eV/atom.

***

No. 8
Below is a relaxed SrBi2As2Pd7 crystal, with properties calculated at the PBE-GGA level.

Cell: 4.725 4.725 11.711 Å, 86.13 86.13 97.84°
Fractional coordinates of all 12 atoms:
Sr1 0.000 0.000 0.000
Bi1 0.857 0.857 0.379
Bi2 0.143 0.143 0.621
As1 0.683 0.683 0.805
As2 0.317 0.317 0.195
Pd1 0.500 0.500 0.000
Pd2 0.370 0.370 0.404
Pd3 0.630 0.630 0.596
Pd4 0.834 0.431 0.221
Pd5 0.431 0.834 0.221
Pd6 0.569 0.166 0.779
Pd7 0.166 0.569 0.779

Computed properties:
The calculation puts the raw total energy at -4.97 eV per atom. The crystal system is monoclinic. The magnetic moment is 0.0 μB/f.u. Its formation energy is -0.3747 eV/atom.

***

No. 9
Below is a relaxed AcTbDy3Y crystal, with properties calculated at the PBE-GGA level.

Cell: 5.420 11.898 6.975 Å, 81.98 90.00 103.17°
Fractional coordinates of all 12 atoms:
Ac1 0.373 0.745 0.983
Ac2 0.627 0.255 0.017
Tb1 0.668 0.335 0.477
Tb2 0.332 0.665 0.523
Dy1 0.819 0.638 0.283
Dy2 0.775 0.549 0.811
Dy3 0.479 0.957 0.283
Dy4 0.225 0.451 0.189
Dy5 0.521 0.043 0.717
Dy6 0.181 0.362 0.717
Y1 0.075 0.150 0.387
Y2 0.925 0.850 0.613

Computed properties:
The calculation puts the raw total energy at -4.61 eV per atom. The crystal system is monoclinic. The magnetic moment is 0.0 μB/f.u. Its formation energy is 0.2259 eV/atom.

***

No. 10
Below is a relaxed Pm6Sm2YEr crystal, with properties calculated at the PBE-GGA level.

Cell: 9.713 8.969 8.969 Å, 118.36 93.94 93.94°
Fractional coordinates of all 20 atoms:
Pm1 0.054 0.124 0.757
Pm2 0.446 0.243 0.876
Pm3 0.946 0.876 0.243
Pm4 0.554 0.757 0.124
Pm5 0.311 0.985 0.430
Pm6 0.189 0.570 0.015
Pm7 0.689 0.015 0.570
Pm8 0.811 0.430 0.985
Pm9 0.118 0.711 0.498
Pm10 0.382 0.502 0.289
Pm11 0.882 0.289 0.502
Pm12 0.618 0.498 0.711
Sm1 0.457 0.802 0.697
Sm2 0.043 0.303 0.198
Sm3 0.543 0.198 0.303
Sm4 0.957 0.697 0.802
Y1 0.250 0.977 0.023
Y2 0.750 0.023 0.977
Er1 0.250 0.410 0.590
Er2 0.750 0.590 0.410

Computed properties:
The calculation puts the raw total energy at -4.78 eV per atom. The crystal system is monoclinic. The magnetic moment is 0.0 μB/f.u. Its formation energy is 0.1130 eV/atom.

***

No. 11
Below is a relaxed SrCuAg2 crystal, with properties calculated at the PBE-GGA level.

Cell: 4.556 4.069 5.472 Å, 90.32 90.00 90.00°
Fractional coordinates of all 4 atoms:
Ag1 0.000 0.251 0.001
Ag2 0.000 0.249 0.499
Cu1 0.500 0.250 0.250
Sr1 0.500 0.750 0.750

Computed properties:
The calculation puts the energy relative to the lowest polymorph listed for this composition at 93.8 meV/atom. The calculation puts the raw total energy at -2.89 eV per atom. The crystal system is monoclinic. The magnetic moment is 0.0 μB/f.u. Its formation energy is -0.0176 eV/atom.

***

No. 12
Below is a relaxed PrSc2Hg crystal, with properties calculated at the PBE-GGA level.

Cell: 4.872 4.872 6.158 Å, 66.70 66.70 60.00°
Fractional coordinates of all 4 atoms:
Pr1 0.489 0.489 0.533
Sc1 0.041 0.041 0.878
Sc2 0.278 0.278 0.167
Hg1 0.693 0.693 0.922

Computed properties:
The calculation puts the energy relative to the lowest polymorph listed for this composition at 139.8 meV/atom. The calculation puts the raw total energy at -4.48 eV per atom. The crystal system is trigonal. The magnetic moment is 0.0 μB/f.u. Its formation energy is -0.0478 eV/atom.

***

No. 13
Below is a relaxed Tl2ReTe crystal, with properties calculated at the PBE-GGA level.

Cell: 12.659 12.659 12.659 Å, 13.92 13.92 13.92°
Fractional coordinates of all 4 atoms:
Re1 0.250 0.250 0.250
Te1 0.750 0.750 0.750
Tl1 0.985 0.985 0.985
Tl2 0.515 0.515 0.515

Computed properties:
The calculation puts the energy relative to the lowest polymorph listed for this composition at 419.2 meV/atom. The calculation puts the raw total energy at -4.25 eV per atom. The crystal system is trigonal. The uncorrected formation energy comes out at 826.1 meV/atom. The magnetic moment is 0.0 μB/f.u.

***

No. 14
Below is a relaxed Sm3Er4Tm crystal, with properties calculated at the PBE-GGA level.

Cell: 3.469 11.571 8.816 Å, 130.98 101.35 90.00°
Fractional coordinates of all 8 atoms:
Tm1 0.500 0.000 0.000
Sm1 0.000 0.500 0.000
Sm2 0.757 0.757 0.514
Sm3 0.243 0.243 0.486
Er1 0.635 0.380 0.270
Er2 0.365 0.620 0.730
Er3 0.365 0.110 0.730
Er4 0.635 0.890 0.270

Computed properties:
The calculation puts the energy relative to the lowest polymorph listed for this composition at 120.8 meV/atom. The calculation puts the raw total energy at -4.48 eV per atom. The crystal system is orthorhombic. The magnetic moment is 0.0 μB/f.u. Its formation energy is 0.1337 eV/atom.

***

No. 15
Below is a relaxed GaP3W crystal, with properties calculated at the PBE-GGA level.

Cell: 4.506 4.506 4.506 Å, 90.00 90.00 90.00°
Fractional coordinates of all 5 atoms:
P1 0.000 0.500 0.000
P2 0.000 0.000 0.500
P3 0.500 0.000 0.000
Ga1 0.000 0.000 0.000
W1 0.500 0.500 0.500

Computed properties:
The calculation puts the energy relative to the lowest polymorph listed for this composition at 1145.2 meV/atom. The calculation puts the raw total energy at -4.85 eV per atom. The crystal system is cubic. The magnetic moment is 0.0 μB/f.u. Its formation energy is 1.5968 eV/atom.

***

No. 16
Below is a relaxed Pm3Nd2Sm4 crystal, with properties calculated at the PBE-GGA level.

Cell: 5.856 10.273 13.259 Å, 151.18 90.00 106.56°
Fractional coordinates of all 9 atoms:
Pm1 0.429 0.857 0.544
Pm2 0.000 0.000 0.000
Pm3 0.571 0.143 0.456
Nd1 0.267 0.534 0.833
Nd2 0.733 0.466 0.167
Sm1 0.279 0.558 0.600
Sm2 0.721 0.442 0.400
Sm3 0.140 0.280 0.911
Sm4 0.860 0.720 0.089

Computed properties:
The calculation puts the energy relative to the lowest polymorph listed for this composition at 35.0 meV/atom. The calculation puts the raw total energy at -4.65 eV per atom. The crystal system is monoclinic. The magnetic moment is 0.0 μB/f.u. Its formation energy is 0.0947 eV/atom.

***

No. 17
Below is a relaxed CeCoB2Os crystal, with properties calculated at the PBE-GGA level.

Cell: 3.771 3.771 5.517 Å, 109.98 109.98 90.00°
Fractional coordinates of all 5 atoms:
Ce1 0.000 0.000 0.000
Co1 0.750 0.250 0.500
B1 0.656 0.656 0.312
B2 0.344 0.344 0.688
Os1 0.250 0.750 0.500

Computed properties:
The calculation puts the raw total energy at -7.96 eV per atom. The crystal system is tetragonal. The magnetic moment is 0.3 μB/f.u. Its formation energy is -0.4393 eV/atom.

***

No. 18
Below is a relaxed CoTe2Ir crystal, with properties calculated at the PBE-GGA level.

Cell: 3.525 3.525 6.996 Å, 90.00 90.00 90.00°
Fractional coordinates of all 4 atoms:
Co1 0.000 0.000 0.518
Ir1 0.500 0.500 0.733
Te1 0.000 0.000 0.880
Te2 0.500 0.500 0.369

Computed properties:
The calculation puts the energy relative to the lowest polymorph listed for this composition at 79.8 meV/atom. The calculation puts the raw total energy at -5.45 eV per atom. The crystal system is tetragonal. The uncorrected formation energy comes out at 109.2 meV/atom. The magnetic moment is 0.0 μB/f.u.

***

No. 19
Below is a relaxed Li2CrSb crystal, with properties calculated at the PBE-GGA level.

Cell: 4.803 3.186 4.986 Å, 85.30 90.00 90.00°
Fractional coordinates of all 4 atoms:
Cr1 0.500 0.750 0.750
Li1 0.000 0.041 0.000
Li2 0.000 0.459 0.500
Sb1 0.500 0.250 0.250

Computed properties:
The calculation puts the raw total energy at -4.33 eV per atom. The crystal system is monoclinic. The uncorrected formation energy comes out at 58.8 meV/atom. The magnetic moment is 4.1 μB/f.u.

***

No. 20
Below is a relaxed Y2Ho3Th4 crystal, with properties calculated at the PBE-GGA level.

Cell: 5.035 7.937 14.603 Å, 144.09 90.00 108.49°
Fractional coordinates of all 9 atoms:
Y1 0.774 0.548 0.332
Y2 0.226 0.452 0.668
Ho1 0.556 0.112 0.671
Ho2 0.000 0.000 0.000
Ho3 0.444 0.888 0.329
Th1 0.666 0.331 0.996
Th2 0.334 0.669 0.004
Th3 0.891 0.782 0.667
Th4 0.109 0.218 0.333

Computed properties:
The calculation puts the raw total energy at -6.23 eV per atom. The crystal system is monoclinic. The magnetic moment is 0.0 μB/f.u. Its formation energy is 0.0334 eV/atom.

***

No. 21
Below is a relaxed PrAl2GaAg crystal, with properties calculated at the PBE-GGA level.

Cell: 4.315 4.264 6.351 Å, 109.61 109.86 90.00°
Fractional coordinates of all 5 atoms:
Pr1 0.441 0.441 0.881
Al1 0.694 0.194 0.389
Al2 0.055 0.055 0.110
Ga1 0.832 0.832 0.663
Ag1 0.190 0.690 0.381

Computed properties:
The calculation puts the raw total energy at -4.08 eV per atom. The crystal system is orthorhombic. The magnetic moment is 0.0 μB/f.u. Its formation energy is -0.4529 eV/atom.

***

No. 22
Below is a relaxed Rb2TlTc2O7 crystal, with properties calculated at the PBE-GGA level.

Cell: 3.967 3.967 11.599 Å, 80.17 80.17 90.00°
Fractional coordinates of all 12 atoms:
Rb1 0.811 0.811 0.379
Rb2 0.189 0.189 0.621
Tl1 0.000 0.000 0.000
Tc1 0.590 0.590 0.819
Tc2 0.410 0.410 0.181
O1 0.500 0.500 0.000
O2 0.327 0.327 0.347
O3 0.673 0.673 0.653
O4 0.911 0.411 0.178
O5 0.411 0.911 0.178
O6 0.589 0.089 0.822
O7 0.089 0.589 0.822

Computed properties:
The calculation puts the raw total energy at -6.33 eV per atom. The crystal system is tetragonal. The uncorrected formation energy comes out at -1347.4 meV/atom. The magnetic moment is 0.0 μB/f.u.

***

No. 23
Below is a relaxed Nb3Pt crystal, with properties calculated at the PBE-GGA level.

Cell: 4.026 4.026 5.194 Å, 112.80 112.80 90.00°
Fractional coordinates of all 4 atoms:
Nb1 0.750 0.250 0.500
Nb2 0.250 0.750 0.500
Nb3 0.500 0.500 0.000
Pt1 0.000 0.000 0.000

Computed properties:
The calculation puts the raw total energy at -9.30 eV per atom. The crystal system is tetragonal. The magnetic moment is 0.0 μB/f.u. Its formation energy is -0.2422 eV/atom.

***

No. 24
Below is a relaxed KZnW crystal, with properties calculated at the PBE-GGA level.

Cell: 6.844 6.844 6.844 Å, 157.71 143.00 43.63°
Fractional coordinates of all 3 atoms:
K1 0.003 0.003 0.000
W1 0.281 0.281 0.000
Zn1 0.717 0.717 0.000

Computed properties:
The calculation puts the energy relative to the lowest polymorph listed for this composition at 57.4 meV/atom. The calculation puts the raw total energy at -4.12 eV per atom. The crystal system is orthorhombic. The magnetic moment is 0.0 μB/f.u. Its formation energy is 0.9909 eV/atom.

***

No. 25
Below is a relaxed VRe3W2 crystal, with properties calculated at the PBE-GGA level.

Cell: 3.113 3.113 9.359 Å, 90.00 90.00 90.00°
Fractional coordinates of all 6 atoms:
V1 0.500 0.500 0.500
Re1 0.000 0.000 0.000
Re2 0.000 0.000 0.659
Re3 0.000 0.000 0.341
W1 0.500 0.500 0.827
W2 0.500 0.500 0.173

Computed properties:
The calculation puts the raw total energy at -12.14 eV per atom. The crystal system is tetragonal. The magnetic moment is 0.0 μB/f.u. Its formation energy is -0.0808 eV/atom.